No. 1
{
  "formula": "HfTa5Ga2",
  "functional": "PBE-GGA",
  "state": "optimized geometry",
  "cell": [[3.338, 0.000, 0.000], [0.000, 8.589, 0.000], [0.000, 0.000, 10.319]],
  "species": ["Hf", "Hf", "Ta", "Ta", "Ta", "Ta", "Ta", "Ta", "Ta", "Ta", "Ta", "Ta", "Ga", "Ga", "Ga", "Ga"],
  "fractional_positions": [[0.000, 0.000, 0.000], [0.500, 0.500, 0.500], [0.000, 0.201, 0.357], [0.000, 0.201, 0.643], [0.000, 0.500, 0.000], [0.000, 0.799, 0.357], [0.000, 0.799, 0.643], [0.500, 0.000, 0.500], [0.500, 0.299, 0.143], [0.500, 0.299, 0.857], [0.500, 0.701, 0.143], [0.500, 0.701, 0.857], [0.000, 0.500, 0.275], [0.000, 0.500, 0.725], [0.500, 0.000, 0.225], [0.500, 0.000, 0.775]],
  "space_group": "No. 71",
  "m_tot_mub_per_cell": 0.00,
  "energy_ev_per_cell": -151.08,
  "ef_ev_per_atom": -0.034,
  "mass_density_g_cm3": 13.73,
  "vol_a3_per_atom": 18.5
}

No. 2
{
  "formula": "La5PmCd2In",
  "functional": "PBE-GGA",
  "state": "optimized geometry",
  "cell": [[8.529, 0.000, 0.000], [0.000, 8.529, 0.000], [0.000, 0.000, 8.416]],
  "species": ["La", "La", "La", "La", "La", "La", "La", "La", "La", "La", "Pm", "Pm", "Cd", "Cd", "Cd", "Cd", "In", "In"],
  "fractional_positions": [[0.000, 0.000, 0.000], [0.226, 0.274, 0.287], [0.226, 0.274, 0.713], [0.274, 0.774, 0.287], [0.274, 0.774, 0.713], [0.500, 0.500, 0.000], [0.726, 0.226, 0.287], [0.726, 0.226, 0.713], [0.774, 0.726, 0.287], [0.774, 0.726, 0.713], [0.000, 0.000, 0.500], [0.500, 0.500, 0.500], [0.110, 0.610, 0.000], [0.390, 0.110, 0.000], [0.610, 0.890, 0.000], [0.890, 0.390, 0.000], [0.000, 0.500, 0.500], [0.500, 0.000, 0.500]],
  "space_group": "No. 127",
  "m_tot_mub_per_cell": 0.00,
  "energy_ev_per_cell": -69.02,
  "ef_ev_per_atom": -0.061,
  "mass_density_g_cm3": 6.40,
  "vol_a3_per_atom": 34.0
}

No. 3
{
  "formula": "ZnTeAsI2",
  "functional": "PBE-GGA",
  "state": "optimized geometry",
  "cell": [[5.360, 0.000, 0.000], [0.000, 5.360, 0.000], [0.000, 0.000, 5.529]],
  "species": ["Zn", "Te", "As", "I", "I"],
  "fractional_positions": [[0.000, 0.000, 0.000], [0.000, 0.000, 0.500], [0.500, 0.500, 0.500], [0.000, 0.500, 0.000], [0.500, 0.000, 0.000]],
  "space_group": "No. 123",
  "de_polymorph_ev_per_atom": 0.185,
  "m_tot_mub_per_cell": 0.00,
  "e_form_raw_ev_per_atom": 0.522,
  "energy_ev_per_cell": -9.56,
  "mass_density_g_cm3": 5.46,
  "vol_a3_per_atom": 31.8
}

No. 4
{
  "formula": "K3Ac2TiS6",
  "functional": "PBE-GGA",
  "state": "optimized geometry",
  "cell": [[3.641, -6.299, 0.000], [3.641, 6.299, 0.000], [-2.423, 0.000, 7.396]],
  "species": ["K", "K", "K", "Ac", "Ac", "Ti", "S", "S", "S", "S", "S", "S"],
  "fractional_positions": [[0.000, 0.000, 0.000], [0.334, 0.666, 0.000], [0.666, 0.334, 0.000], [0.168, 0.832, 0.500], [0.832, 0.168, 0.500], [0.500, 0.500, 0.500], [0.133, 0.430, 0.295], [0.275, 0.275, 0.697], [0.430, 0.133, 0.295], [0.570, 0.867, 0.705], [0.725, 0.725, 0.303], [0.867, 0.570, 0.705]],
  "space_group": "No. 12",
  "m_tot_mub_per_cell": 1.00,
  "e_form_raw_ev_per_atom": -1.627,
  "energy_ev_per_cell": -63.69,
  "mass_density_g_cm3": 3.97,
  "vol_a3_per_atom": 28.3
}

No. 5
{
  "formula": "Tm4Tl5Pb2",
  "functional": "PBE-GGA",
  "state": "optimized geometry",
  "cell": [[0.000, 5.129, 10.682], [3.145, 0.000, 10.682], [3.145, 5.129, 0.000]],
  "species": ["Tm", "Tm", "Tm", "Tm", "Tl", "Tl", "Tl", "Tl", "Tl", "Pb", "Pb"],
  "fractional_positions": [[0.050, 0.699, 0.301], [0.301, 0.950, 0.050], [0.699, 0.050, 0.950], [0.950, 0.301, 0.699], [0.000, 0.000, 0.000], [0.000, 0.000, 0.500], [0.250, 0.250, 0.250], [0.500, 0.500, 0.000], [0.750, 0.750, 0.750], [0.372, 0.372, 0.628], [0.628, 0.628, 0.372]],
  "space_group": "No. 69",
  "m_tot_mub_per_cell": 0.00,
  "energy_ev_per_cell": -37.25,
  "ef_ev_per_atom": -0.010,
  "mass_density_g_cm3": 10.18,
  "vol_a3_per_atom": 31.3
}

No. 6
{
  "formula": "Sm5Y4Ho3",
  "functional": "PBE-GGA",
  "state": "optimized geometry",
  "cell": [[8.130, -2.958, 0.000], [8.130, 2.958, 0.000], [-4.253, 0.000, 8.324]],
  "species": ["Sm", "Sm", "Sm", "Sm", "Sm", "Y", "Y", "Y", "Y", "Ho", "Ho", "Ho"],
  "fractional_positions": [[0.000, 0.000, 0.000], [0.326, 0.326, 0.615], [0.424, 0.424, 0.299], [0.576, 0.576, 0.701], [0.674, 0.674, 0.385], [0.080, 0.080, 0.438], [0.215, 0.215, 0.878], [0.785, 0.785, 0.122], [0.920, 0.920, 0.562], [0.209, 0.209, 0.230], [0.500, 0.500, 0.000], [0.791, 0.791, 0.770]],
  "space_group": "No. 12",
  "m_tot_mub_per_cell": 0.02,
  "energy_ev_per_cell": -60.50,
  "ef_ev_per_atom": 0.224,
  "mass_density_g_cm3": 6.65,
  "vol_a3_per_atom": 33.4
}

No. 7
{
  "formula": "Cs2MnNbSe4",
  "functional": "PBE-GGA",
  "state": "optimized geometry",
  "cell": [[0.000, 7.546, 13.208], [2.929, 0.000, 13.208], [2.929, 7.546, 0.000]],
  "species": ["Cs", "Cs", "Cs", "Cs", "Mn", "Mn", "Nb", "Nb", "Se", "Se", "Se", "Se", "Se", "Se", "Se", "Se"],
  "fractional_positions": [[0.051, 0.051, 0.699], [0.301, 0.301, 0.949], [0.699, 0.699, 0.051], [0.949, 0.949, 0.301], [0.375, 0.375, 0.375], [0.625, 0.625, 0.625], [0.125, 0.125, 0.125], [0.875, 0.875, 0.875], [0.030, 0.327, 0.410], [0.267, 0.590, 0.673], [0.327, 0.030, 0.733], [0.410, 0.733, 0.030], [0.590, 0.267, 0.970], [0.673, 0.970, 0.267], [0.733, 0.410, 0.327], [0.970, 0.673, 0.590]],
  "space_group": "No. 70",
  "m_tot_mub_per_cell": 8.00,
  "e_form_raw_ev_per_atom": -0.991,
  "energy_ev_per_cell": -85.62,
  "mass_density_g_cm3": 4.15,
  "vol_a3_per_atom": 36.5
}

No. 8
{
  "formula": "Li2Ti2Au3",
  "functional": "PBE-GGA",
  "state": "optimized geometry",
  "cell": [[4.333, 0.000, 0.000], [0.000, 19.260, 0.000], [0.000, 0.000, 2.803]],
  "species": ["Li", "Li", "Li", "Li", "Ti", "Ti", "Ti", "Ti", "Au", "Au", "Au", "Au", "Au", "Au"],
  "fractional_positions": [[0.000, 0.068, 0.000], [0.000, 0.932, 0.000], [0.500, 0.432, 0.000], [0.500, 0.568, 0.000], [0.000, 0.212, 0.000], [0.000, 0.788, 0.000], [0.500, 0.288, 0.000], [0.500, 0.712, 0.000], [0.000, 0.350, 0.500], [0.000, 0.500, 0.500], [0.000, 0.650, 0.500], [0.500, 0.000, 0.500], [0.500, 0.150, 0.500], [0.500, 0.850, 0.500]],
  "space_group": "No. 65",
  "m_tot_mub_per_cell": 4.45,
  "energy_ev_per_cell": -62.38,
  "ef_ev_per_atom": -0.249,
  "mass_density_g_cm3": 9.95,
  "vol_a3_per_atom": 16.7
}

No. 9
{
  "formula": "SmHo2TmAs4",
  "functional": "PBE-GGA",
  "state": "optimized geometry",
  "cell": [[7.135, 0.000, 0.000], [0.000, 4.122, 0.000], [-2.378, 0.000, 6.728]],
  "species": ["Sm", "Ho", "Ho", "Tm", "As", "As", "As", "As"],
  "fractional_positions": [[0.000, 0.000, 0.000], [0.000, 0.500, 0.500], [0.500, 0.000, 0.500], [0.500, 0.500, 0.000], [0.254, 0.000, 0.749], [0.256, 0.500, 0.254], [0.744, 0.500, 0.746], [0.746, 0.000, 0.251]],
  "space_group": "No. 10",
  "m_tot_mub_per_cell": 0.00,
  "energy_ev_per_cell": -49.08,
  "ef_ev_per_atom": -1.517,
  "mass_density_g_cm3": 7.96,
  "vol_a3_per_atom": 24.7
}

No. 10
{
  "formula": "Pu2AuF",
  "functional": "PBE-GGA",
  "state": "optimized geometry",
  "cell": [[3.147, 0.000, 0.000], [0.000, 3.147, 0.000], [0.000, 0.000, 8.299]],
  "species": ["Pu", "Pu", "Au", "F"],
  "fractional_positions": [[0.000, 0.000, 0.233], [0.000, 0.000, 0.767], [0.500, 0.500, 0.500], [0.500, 0.500, 0.000]],
  "space_group": "No. 123",
  "de_polymorph_ev_per_atom": 0.065,
  "m_tot_mub_per_cell": 12.52,
  "e_form_raw_ev_per_atom": -1.020,
  "energy_ev_per_cell": -37.89,
  "mass_density_g_cm3": 14.23,
  "vol_a3_per_atom": 20.5
}

No. 11
{
  "formula": "NaCuW2",
  "functional": "PBE-GGA",
  "state": "optimized geometry",
  "cell": [[3.689, 0.000, 0.000], [0.000, 3.689, 0.000], [0.000, 0.000, 20.653]],
  "species": ["Na", "Na", "Na", "Na", "Cu", "Cu", "Cu", "Cu", "W", "W", "W", "W", "W", "W", "W", "W"],
  "fractional_positions": [[0.000, 0.000, 0.000], [0.000, 0.500, 0.250], [0.500, 0.000, 0.750], [0.500, 0.500, 0.500], [0.000, 0.000, 0.500], [0.000, 0.500, 0.750], [0.500, 0.000, 0.250], [0.500, 0.500, 0.000], [0.238, 0.750, 0.625], [0.250, 0.238, 0.375], [0.250, 0.262, 0.875], [0.262, 0.750, 0.125], [0.738, 0.250, 0.125], [0.750, 0.738, 0.875], [0.750, 0.762, 0.375], [0.762, 0.250, 0.625]],
  "space_group": "No. 122",
  "de_polymorph_ev_per_atom": 0.000,
  "m_tot_mub_per_cell": 0.00,
  "energy_ev_per_cell": -105.95,
  "ef_ev_per_atom": 1.208,
  "mass_density_g_cm3": 10.73,
  "vol_a3_per_atom": 17.6
}

No. 12
{
  "formula": "HoP2Pb",
  "functional": "PBE-GGA",
  "state": "optimized geometry",
  "cell": [[4.045, 0.000, 0.000], [-2.023, 3.503, 0.000], [0.000, 0.000, 20.575]],
  "species": ["Ho", "Ho", "Ho", "P", "P", "P", "P", "P", "P", "Pb", "Pb", "Pb"],
  "fractional_positions": [[0.000, 0.000, 0.000], [0.333, 0.667, 0.667], [0.667, 0.333, 0.333], [0.000, 0.000, 0.257], [0.000, 0.000, 0.743], [0.333, 0.667, 0.409], [0.333, 0.667, 0.924], [0.667, 0.333, 0.076], [0.667, 0.333, 0.591], [0.000, 0.000, 0.500], [0.333, 0.667, 0.167], [0.667, 0.333, 0.833]],
  "space_group": "No. 166",
  "m_tot_mub_per_cell": 0.00,
  "energy_ev_per_cell": -64.26,
  "ef_ev_per_atom": -0.579,
  "mass_density_g_cm3": 7.42,
  "vol_a3_per_atom": 24.3
}